## Ba2VZn2 (PBE-GGA)

Data for a geometry-optimized Ba2VZn2 structure.

a = 7.6424 Å, b = 7.6424 Å, c = 5.2448 Å
α = 90.00°, β = 90.00°, γ = 90.00°
Element x y z (fractional)
Ba: 0.1833 0.3167 0.0000
Ba: 0.3167 0.8167 0.0000
Ba: 0.6833 0.1833 0.0000
Ba: 0.8167 0.6833 0.0000
V: 0.0000 0.0000 0.5000
V: 0.5000 0.5000 0.5000
Zn: 0.1273 0.6273 0.5000
Zn: 0.3727 0.1273 0.5000
Zn: 0.6273 0.8727 0.5000
Zn: 0.8727 0.3727 0.5000

## Properties
The total magnetization is 3.96 μB/f.u. Its excess energy over the best structure of this formula in the dataset is 0 meV per atom. The density of states at the Fermi level is 10.63 states/eV/cell. Its symmetry is No. 127.